No. 1
Density functional theory data (PBEsol) for crystalline BaCaCl2 at its relaxed geometry.

It has space group P4mm (No. 99), with a = 4.018 Å, b = 4.018 Å, c = 7.601 Å, α = 90.00°, β = 90.00° and γ = 90.00°. Symmetry generates all atoms from Ba at (0.000, 0.000, 0.000), Ca at (0.500, 0.500, 0.452), Cl at (0.000, 0.000, 0.556) and Cl at (0.500, 0.500, 0.824).

As for the energy above the most stable polymorph in this dataset: 0.00 eV/f.u. The value obtained for the energy relative to the elements, uncorrected is -1.72 eV per atom. The value obtained for the density is 3.360 g cm⁻³. As for the electronic total energy: -3.797 eV per atom. The value obtained for the size of the total moment is 0.00 μB/cell.

***

No. 2
Density functional theory data (PBEsol) for crystalline NbCl5 at its relaxed geometry.

It has space group P2_1/c (No. 14), with a = 7.996 Å, b = 10.397 Å, c = 11.415 Å, α = 90.00°, β = 134.42° and γ = 90.00°. Symmetry generates all atoms from Nb at (0.106, 0.139, 0.160), Cl at (0.073, 0.146, 0.621), Cl at (0.100, 0.607, 0.638), Cl at (0.263, 0.614, 0.440), Cl at (0.291, 0.121, 0.426) and Cl at (0.449, 0.125, 0.221).

The value obtained for the energy relative to the elements, uncorrected is -1.20 eV per atom. The value obtained for the density is 2.648 g cm⁻³. As for the electronic total energy: -4.681 eV per atom. The value obtained for the size of the total moment is 0.00 μB/cell.

***

No. 3
Density functional theory data (PBEsol) for crystalline Co2RhW at its relaxed geometry.

It has space group P4/mmm (No. 123), with a = 3.680 Å, b = 3.680 Å, c = 3.580 Å, α = 90.00°, β = 90.00° and γ = 90.00°. Symmetry generates all atoms from Co at (0.000, 0.500, 0.000), Rh at (0.000, 0.000, 0.500) and W at (0.500, 0.500, 0.500).

As for the energy above the most stable polymorph in this dataset: 0.00 eV/f.u. The value obtained for the energy of formation from the pure elements is -0.4 eV/f.u. The value obtained for the density is 13.857 g cm⁻³. As for the electronic total energy: -9.467 eV per atom. The value obtained for the size of the total moment is 0.52 μB/cell.

***

No. 4
Density functional theory data (PBEsol) for crystalline Mn2BiS at its relaxed geometry.

It has space group Fm-3m (No. 225), with a = 6.434 Å, b = 6.434 Å, c = 6.434 Å, α = 90.00°, β = 90.00° and γ = 90.00°. Symmetry generates all atoms from Mn at (0.250, 0.250, 0.250), Bi at (0.000, 0.000, 0.000) and S at (0.000, 0.000, 0.500).

The value obtained for the energy relative to the elements, uncorrected is 0.37 eV per atom. The value obtained for the density is 8.751 g cm⁻³. As for the electronic total energy: -6.673 eV per atom. The value obtained for the size of the total moment is 24.96 μB/cell.

***

No. 5
Density functional theory data (PBEsol) for crystalline TlHg2Ru at its relaxed geometry.

It has space group Fm-3m (No. 225), with a = 6.822 Å, b = 6.822 Å, c = 6.822 Å, α = 90.00°, β = 90.00° and γ = 90.00°. Symmetry generates all atoms from Tl at (0.000, 0.000, 0.000), Hg at (0.250, 0.250, 0.250) and Ru at (0.000, 0.000, 0.500).

As for the energy above the most stable polymorph in this dataset: 1.03 eV/f.u. The value obtained for the energy of formation from the pure elements is 2.7 eV/f.u. The value obtained for the density is 14.781 g cm⁻³. As for the electronic total energy: -2.808 eV per atom. The value obtained for the size of the total moment is 4.40 μB/cell.

***

No. 6
Density functional theory data (PBEsol) for crystalline KCuAg2 at its relaxed geometry.

It has space group Imm2 (No. 44), with a = 2.859 Å, b = 5.305 Å, c = 10.592 Å, α = 90.00°, β = 90.00° and γ = 90.00°. Symmetry generates all atoms from K at (0.000, 0.000, 0.000), Cu at (0.000, 0.500, 0.224), Ag at (0.000, 0.000, 0.522) and Ag at (0.000, 0.500, 0.792).

As for the energy above the most stable polymorph in this dataset: 0.30 eV/f.u. The value obtained for the energy of formation from the pure elements is 1.5 eV/f.u. The value obtained for the density is 6.582 g cm⁻³. As for the electronic total energy: -2.639 eV per atom. The value obtained for the size of the total moment is 0.00 μB/cell.

***

No. 7
Density functional theory data (PBEsol) for crystalline Nd2NiB10 at its relaxed geometry.

It has space group Pbam (No. 55), with a = 5.585 Å, b = 11.142 Å, c = 4.173 Å, α = 90.00°, β = 90.00° and γ = 90.00°. Symmetry generates all atoms from Nd at (0.188, 0.137, 0.000), Ni at (0.000, 0.500, 0.500), B at (0.030, 0.314, 0.500), B at (0.127, 0.959, 0.500), B at (0.160, 0.802, 0.500) and B at (0.199, 0.386, 0.200).

The value obtained for the energy of formation from the pure elements is -7.4 eV/f.u. The value obtained for the density is 5.824 g cm⁻³. As for the electronic total energy: -7.234 eV per atom. The value obtained for the size of the total moment is 0.00 μB/cell.

***

No. 8
Density functional theory data (PBEsol) for crystalline Ca9Cd4Bi9 at its relaxed geometry.

It has space group Pbam (No. 55), with a = 12.584 Å, b = 22.274 Å, c = 4.732 Å, α = 90.00°, β = 90.00° and γ = 90.00°. Symmetry generates all atoms from Ca at (0.000, 0.000, 0.000), Ca at (0.072, 0.413, 0.500), Ca at (0.128, 0.233, 0.500), Ca at (0.130, 0.865, 0.500), Ca at (0.202, 0.601, 0.000), Cd at (0.114, 0.761, 0.000), Cd at (0.236, 0.454, 0.000), Bi at (0.000, 0.500, 0.000), Bi at (0.049, 0.143, 0.000), Bi at (0.112, 0.687, 0.500), Bi at (0.181, 0.016, 0.500) and Bi at (0.182, 0.328, 0.000).

The value obtained for the energy of formation from the pure elements is -15.2 eV/f.u. The value obtained for the density is 6.739 g cm⁻³. As for the electronic total energy: -3.535 eV per atom. The value obtained for the size of the total moment is 0.00 μB/cell.

***

No. 9
Density functional theory data (PBEsol) for crystalline Tm2B6Os at its relaxed geometry.

It has space group Pbam (No. 55), with a = 9.018 Å, b = 11.373 Å, c = 3.579 Å, α = 90.00°, β = 90.00° and γ = 90.00°. Symmetry generates all atoms from Tm at (0.056, 0.127, 0.000), Tm at (0.179, 0.414, 0.000), B at (0.018, 0.287, 0.500), B at (0.053, 0.566, 0.500), B at (0.106, 0.971, 0.500), B at (0.131, 0.815, 0.500), B at (0.209, 0.234, 0.500), B at (0.249, 0.579, 0.500) and Os at (0.137, 0.679, 0.000).

The value obtained for the energy of formation from the pure elements is -7.0 eV/f.u. The value obtained for the density is 10.730 g cm⁻³. As for the electronic total energy: -7.896 eV per atom. The value obtained for the size of the total moment is 0.00 μB/cell.

***

No. 10
Density functional theory data (PBEsol) for crystalline Zn3Ag at its relaxed geometry.

It has space group I4/mmm (No. 139), with a = 3.833 Å, b = 3.833 Å, c = 7.877 Å, α = 90.00°, β = 90.00° and γ = 90.00°. Symmetry generates all atoms from Zn at (0.000, 0.000, 0.000), Zn at (0.000, 0.500, 0.250) and Ag at (0.000, 0.000, 0.500).

The value obtained for the energy of formation from the pure elements is -0.1 eV/f.u. The value obtained for the density is 8.728 g cm⁻³. As for the electronic total energy: -2.039 eV per atom. The value obtained for the size of the total moment is 0.00 μB/cell.

***

No. 11
Density functional theory data (PBEsol) for crystalline LaSc2Ta at its relaxed geometry.

It has space group R-3m (No. 166, hexagonal axes), with a = 3.1634 Å, b = 3.1634 Å, c = 32.1633 Å, α = 90.00°, β = 90.00° and γ = 120.00°. Symmetry generates all atoms from La at (0.0000, 0.0000, 0.0000), Sc at (0.0000, 0.0000, 0.2398) and Ta at (0.0000, 0.0000, 0.5000).

The value obtained for the energy of formation from the pure elements is 0.9 eV/f.u. The value obtained for the density is 7.323 g cm⁻³. As for the electronic total energy: -7.563 eV per atom. The value obtained for the size of the total moment is 0.00 μB/cell.

***

No. 12
Density functional theory data (PBEsol) for crystalline ThSi3Ru at its relaxed geometry.

It has space group I4mm (No. 107), with a = 4.198 Å, b = 4.198 Å, c = 9.827 Å, α = 90.00°, β = 90.00° and γ = 90.00°. Symmetry generates all atoms from Th at (0.000, 0.000, 0.000), Si at (0.000, 0.000, 0.581), Si at (0.000, 0.500, 0.234) and Ru at (0.000, 0.000, 0.343).

The value obtained for the energy relative to the elements, uncorrected is -0.79 eV per atom. The value obtained for the density is 8.004 g cm⁻³. As for the electronic total energy: -7.897 eV per atom. The value obtained for the size of the total moment is 0.00 μB/cell.